## V2SbF8 (PBE with a Hubbard U)

Data for a geometry-optimized V2SbF8 structure.

## Properties
DFT total energy	-122.58	eV/cell
magnetization	5.0	μB per formula unit

Cell: 8.777 6.716 5.426 Å, 90.00 103.21 90.00°
Space group C2/m (No. 12)
Asymmetric unit:
V1 0.183 0.000 0.464 x4
Sb1 0.000 0.500 0.000 x2
F1 0.054 0.000 0.730 x4
F2 0.150 0.307 0.307 x8
F3 0.174 0.500 0.785 x4